Here is crystalline Ba2LiMg at its relaxed geometry from Alexandria via LeMat-Bulk. Energies are from GGA-PBE.

Structure (POSCAR):
```
Ba2LiMg
1.0
-4.793 4.793 3.784
4.793 -4.793 3.784
4.793 4.793 -3.784
Ba Li Mg
4 2 2
Cartesian
7.190 2.271 -0.946
2.271 2.397 0.946
-2.397 2.522 2.838
2.522 2.397 4.730
0.000 0.000 0.000
0.000 4.793 1.892
4.793 0.000 1.892
0.000 0.000 3.784
```

Output
DOS at the Fermi energy = 3.9 states/eV/f.u.
Formation enthalpy at 0 K = 225 meV/atom
Total DFT energy (no corrections) = -1.613 eV/atom

Here is crystalline Ba2Li5Mg5 at its relaxed geometry from Alexandria via LeMat-Bulk. Energies are from GGA-PBE.

Structure (POSCAR):
```
Ba2Li5Mg5
1.0
4.959 0.000 0.000
0.000 6.285 0.000
0.000 0.000 10.948
Ba Li Mg
2 5 5
Cartesian
0.000 0.000 0.000
0.000 3.143 5.474
0.000 0.000 3.629
0.000 0.000 7.318
0.000 3.143 1.844
0.000 3.143 9.103
2.480 0.000 5.474
2.480 1.566 2.753
2.480 1.566 8.195
2.480 3.143 0.000
2.480 4.719 2.753
2.480 4.719 8.195
```

Output
DOS at the Fermi energy = 8.2 states/eV/f.u.
Formation enthalpy at 0 K = -41 meV/atom
Total DFT energy (no corrections) = -1.823 eV/atom

Here is crystalline Ba2Li6Mg at its relaxed geometry from Alexandria via LeMat-Bulk. Energies are from GGA-PBE.

Structure (POSCAR):
```
Ba2Li6Mg
1.0
5.659 -3.426 0.000
5.659 3.426 0.000
-1.242 0.000 7.052
Ba Li Mg
2 6 1
Cartesian
1.319 0.000 2.585
8.757 0.000 4.466
4.070 1.862 0.995
6.006 1.862 6.056
3.305 0.000 5.931
6.770 0.000 1.120
4.070 -1.862 0.995
6.006 -1.862 6.056
5.038 0.000 3.526
```

Output
DOS at the Fermi energy = 5.5 states/eV/f.u.
Formation enthalpy at 0 K = 17 meV/atom
Total DFT energy (no corrections) = -1.863 eV/atom

Here is crystalline Ba2LiMg at its relaxed geometry from Alexandria via LeMat-Bulk. Energies are from GGA-PBE.

Structure (POSCAR):
```
Ba2LiMg
1.0
2.083 1.202 11.706
-2.083 1.202 11.706
0.000 -2.405 11.706
Ba Li Mg
2 1 1
Cartesian
0.000 0.000 0.000
0.000 0.000 5.983
0.000 0.000 26.408
0.000 0.000 20.554
```

Output
DOS at the Fermi energy = 4.3 states/eV/f.u.
Formation enthalpy at 0 K = 158 meV/atom
Total DFT energy (no corrections) = -1.681 eV/atom

Here is crystalline Ba2LiMg at its relaxed geometry from Alexandria via LeMat-Bulk. Energies are from GGA-PBE.

Structure (POSCAR):
```
Ba2LiMg
1.0
6.229 0.000 0.000
0.000 6.229 0.000
0.000 0.000 4.369
Ba Li Mg
2 1 1
Cartesian
0.000 3.115 0.000
3.115 0.000 0.000
0.000 0.000 2.184
3.115 3.115 2.184
```

Output
DOS at the Fermi energy = 5.0 states/eV/f.u.
Formation enthalpy at 0 K = -11 meV/atom
Total DFT energy (no corrections) = -1.849 eV/atom

Here is crystalline Ba6LiMg at its relaxed geometry from Alexandria via LeMat-Bulk. Energies are from GGA-PBE.

Structure (POSCAR):
```
Ba6LiMg
1.0
-3.126 3.126 10.917
3.126 -3.126 10.917
3.126 3.126 -10.917
Ba Li Mg
6 1 1
Cartesian
3.126 0.000 2.097
0.000 0.000 5.460
3.126 0.000 8.820
0.000 3.126 2.097
0.000 0.000 16.373
0.000 3.126 8.820
0.000 0.000 0.000
0.000 0.000 10.917
```

Output
DOS at the Fermi energy = 10.6 states/eV/f.u.
Formation enthalpy at 0 K = 7 meV/atom
Total DFT energy (no corrections) = -1.873 eV/atom